# CsSmCd2Cl8 (PBE, optimized geometry)
# - V (Å³/atom) = 33.6
# - density (g/cm3) = 3.3
# - E (eV per atom) = -3.4551
# - formation energy (no corrections) (eV/f.u.) = -19.29
data_CsSmCd2Cl8
_symmetry_space_group_name_H-M 'P -1'
_symmetry_Int_Tables_number 2
_symmetry_space_group_name_Hall '-P 1'
_cell_length_a 6.7112
_cell_length_b 6.8226
_cell_length_c 9.6292
_cell_angle_alpha 73.73
_cell_angle_beta 76.25
_cell_angle_gamma 75.31
loop_
_atom_site_label
_atom_site_fract_x
_atom_site_fract_y
_atom_site_fract_z
Cs1 0.0000 0.0000 0.0000
Sm1 0.0000 0.0000 0.5000
Cd1 0.4582 0.4474 0.2174
Cl1 0.1658 0.7114 0.7276
Cl2 0.2513 0.7908 0.2992
Cl3 0.2841 0.2364 0.4637
Cl4 0.3891 0.2892 0.0273